# YNiBi, relaxed, DFT PBE
data_YNiBi
_cell_length_a 7.207
_cell_length_b 7.207
_cell_length_c 4.417
_cell_angle_alpha 90.00
_cell_angle_beta 90.00
_cell_angle_gamma 120.00
_space_group_name_H-M_alt 'P 1'
_space_group_IT_number 1
loop_
_space_group_symop_operation_xyz
'x,y,z'
loop_
_atom_site_label
_atom_site_type_symbol
_atom_site_fract_x
_atom_site_fract_y
_atom_site_fract_z
Y1 Y 0.000 0.573 0.000
Y2 Y 0.427 0.427 0.000
Y3 Y 0.573 0.000 0.000
Ni1 Ni 0.000 0.248 0.500
Ni2 Ni 0.248 0.000 0.500
Ni3 Ni 0.752 0.752 0.500
Bi1 Bi 0.000 0.000 0.000
Bi2 Bi 0.333 0.667 0.500
Bi3 Bi 0.667 0.333 0.500
# Crystal system   hexagonal
# Space-group type   P-62m, No. 189
# Electronic total energy   -5.81 eV per atom